No. 1
# TbPr2Dy3Se6 (GGA-PBE, relaxed)
# Uncorrected energy   -5.86 eV/atom
# DOS(E_F)   0.451 states/eV/atom
# E_form (uncorrected)   -1785 meV/atom
# Symmetry   No. 12
data_TbPr2Dy3Se6
_space_group_name_H-M_alt 'P 1'
_space_group_IT_number 1
_cell_length_a 4.110
_cell_length_b 8.364
_cell_length_c 9.285
_cell_angle_alpha 103.82
_cell_angle_beta 102.79
_cell_angle_gamma 90.00
loop_
_space_group_symop_operation_xyz
'x,y,z'
loop_
_atom_site_label
_atom_site_fract_x
_atom_site_fract_y
_atom_site_fract_z
Se1 0.338 0.407 0.676
Se2 0.335 0.929 0.669
Se3 0.004 0.751 0.009
Se4 0.665 0.071 0.331
Se5 0.996 0.249 0.991
Se6 0.662 0.593 0.324
Pr1 0.832 0.664 0.664
Pr2 0.168 0.336 0.336
Dy1 0.830 0.166 0.660
Dy2 0.170 0.834 0.340
Dy3 0.500 0.500 0.000
Tb1 0.500 0.000 0.000

---

No. 2
# TbPr2DySe6 (GGA-PBE, relaxed)
# Uncorrected energy   -5.81 eV/atom
# DOS(E_F)   0.000 states/eV/atom
# E_form (uncorrected)   -1845 meV/atom
# Symmetry   No. 146
data_TbPr2DySe6
_space_group_name_H-M_alt 'P 1'
_space_group_IT_number 1
_cell_length_a 7.396
_cell_length_b 7.396
_cell_length_c 7.807
_cell_angle_alpha 61.73
_cell_angle_beta 61.73
_cell_angle_gamma 60.00
loop_
_space_group_symop_operation_xyz
'x,y,z'
loop_
_atom_site_label
_atom_site_fract_x
_atom_site_fract_y
_atom_site_fract_z
Pr1 0.520 0.520 0.439
Pr2 0.020 0.020 0.939
Dy1 0.818 0.819 0.544
Se1 0.704 0.103 0.758
Se2 0.604 0.203 0.258
Se3 0.103 0.436 0.758
Se4 0.436 0.703 0.758
Se5 0.935 0.604 0.258
Se6 0.203 0.935 0.258
Tb1 0.318 0.318 0.045

---

No. 3
# Tb2Pr3DySe6 (GGA-PBE, relaxed)
# Uncorrected energy   -5.90 eV/atom
# DOS(E_F)   0.472 states/eV/atom
# E_form (uncorrected)   -1812 meV/atom
# Symmetry   No. 12
data_Tb2Pr3DySe6
_space_group_name_H-M_alt 'P 1'
_space_group_IT_number 1
_cell_length_a 7.180
_cell_length_b 7.180
_cell_length_c 7.349
_cell_angle_alpha 99.36
_cell_angle_beta 99.36
_cell_angle_gamma 120.27
loop_
_space_group_symop_operation_xyz
'x,y,z'
loop_
_atom_site_label
_atom_site_fract_x
_atom_site_fract_y
_atom_site_fract_z
Tb1 0.667 0.333 0.000
Tb2 0.333 0.667 0.000
Se1 0.078 0.410 0.234
Se2 0.922 0.590 0.766
Se3 0.746 0.746 0.234
Se4 0.590 0.922 0.766
Se5 0.410 0.078 0.234
Se6 0.254 0.254 0.766
Pr1 0.500 0.500 0.500
Pr2 0.168 0.832 0.500
Pr3 0.832 0.168 0.500
Dy1 0.000 0.000 0.000

---

No. 4
# Tb3PrDy4Se8 (GGA-PBE, relaxed)
# Uncorrected energy   -5.82 eV/atom
# DOS(E_F)   0.643 states/eV/atom
# E_form (uncorrected)   -1762 meV/atom
# Symmetry   No. 166
data_Tb3PrDy4Se8
_space_group_name_H-M_alt 'P 1'
_space_group_IT_number 1
_cell_length_a 8.210
_cell_length_b 8.226
_cell_length_c 8.209
_cell_angle_alpha 119.94
_cell_angle_beta 120.00
_cell_angle_gamma 90.00
loop_
_space_group_symop_operation_xyz
'x,y,z'
loop_
_atom_site_label
_atom_site_fract_x
_atom_site_fract_y
_atom_site_fract_z
Tb1 0.500 0.500 0.000
Tb2 0.000 0.500 0.500
Tb3 0.500 0.500 0.500
Pr1 0.000 0.500 0.000
Dy1 0.500 0.000 0.000
Dy2 0.000 0.000 0.000
Dy3 0.500 0.000 0.500
Dy4 0.000 0.000 0.500
Se1 0.744 0.243 0.999
Se2 0.746 0.757 0.001
Se3 0.256 0.757 0.001
Se4 0.751 0.752 0.501
Se5 0.249 0.248 0.499
Se6 0.256 0.757 0.512
Se7 0.254 0.243 0.999
Se8 0.744 0.243 0.488